1.
A plane-wave DFT calculation with PBE was carried out for Y3MgP after structural relaxation.

Calculated values
**Spin magnetization**: 0.000 μB/cell
**DFT formation energy**: -0.53 eV/atom
**ρ**: 3.53 g/cm³
**Final energy**: -29.07 eV per cell

Cell: 5.3292 5.3292 5.3292 Å, 90.00 90.00 90.00°
Element x y z (fractional)
Y  0.0000  0.0000  0.5000
Y  0.0000  0.5000  0.0000
Y  0.5000  0.0000  0.0000
Mg  0.5000  0.5000  0.5000
P  0.0000  0.0000  0.0000

2.
A plane-wave DFT calculation with PBE was carried out for Y2MgP2 after structural relaxation.

Calculated values
**Spin magnetization**: 0.000 μB/cell
**DFT formation energy**: -1.17 eV/atom
**ρ**: 4.18 g/cm³
**Final energy**: -62.41 eV per cell

Cell: 7.4208 7.4208 3.8080 Å, 90.00 90.00 90.00°
Element x y z (fractional)
Y  0.1562  0.3438  0.0000
Y  0.3438  0.8438  0.0000
Y  0.6562  0.1562  0.0000
Y  0.8438  0.6562  0.0000
Mg  0.0000  0.0000  0.5000
Mg  0.5000  0.5000  0.5000
P  0.1528  0.6528  0.5000
P  0.3472  0.1528  0.5000
P  0.6528  0.8472  0.5000
P  0.8472  0.3472  0.5000

3.
A plane-wave DFT calculation with PBE was carried out for Mg2ZnP after structural relaxation.

Calculated values
**Spin magnetization**: 0.000 μB/cell
**DFT formation energy**: -0.17 eV/atom
**ρ**: 3.43 g/cm³
**Final energy**: -21.08 eV per cell

Cell: 6.0961 6.1571 3.7377 Å, 90.00 90.00 90.00°
Element x y z (fractional)
Mg  0.2500  0.2500  0.0000
Mg  0.2500  0.7500  0.0000
Mg  0.7500  0.2500  0.0000
Mg  0.7500  0.7500  0.0000
Zn  0.0000  0.0000  0.5000
Zn  0.5000  0.5000  0.5000
P  0.0000  0.5000  0.5000
P  0.5000  0.0000  0.5000

4.
A plane-wave DFT calculation with PBE was carried out for Mg2ZnP after structural relaxation.

Calculated values
**Spin magnetization**: 0.000 μB/cell
**DFT formation energy**: 0.05 eV/atom
**ρ**: 2.62 g/cm³
**Final energy**: -38.68 eV per cell

Cell: 4.8161 4.8161 15.8216 Å, 90.00 90.00 90.00°
Element x y z (fractional)
Mg  0.2265  0.2500  0.1250
Mg  0.2500  0.7265  0.3750
Mg  0.2500  0.7735  0.8750
Mg  0.2735  0.2500  0.6250
Mg  0.7265  0.7500  0.6250
Mg  0.7500  0.2265  0.8750
Mg  0.7500  0.2735  0.3750
Mg  0.7735  0.7500  0.1250
Zn  0.0000  0.0000  0.5000
Zn  0.0000  0.5000  0.7500
Zn  0.5000  0.0000  0.2500
Zn  0.5000  0.5000  0.0000
P  0.0000  0.0000  0.0000
P  0.0000  0.5000  0.2500
P  0.5000  0.0000  0.7500
P  0.5000  0.5000  0.5000

5.
A plane-wave DFT calculation with PBE was carried out for Mg2ZnP after structural relaxation.

Calculated values
**Spin magnetization**: 0.000 μB/cell
**DFT formation energy**: -0.15 eV/atom
**ρ**: 3.09 g/cm³
**Final energy**: -20.92 eV per cell

Cell: 3.2919 4.0045 11.8033 Å, 90.00 90.00 90.00°
Element x y z (fractional)
Mg  0.0000  0.0000  0.0000
Mg  0.0000  0.5000  0.2213
Mg  0.5000  0.0000  0.7213
Mg  0.5000  0.5000  0.5000
Zn  0.0000  0.0000  0.3918
Zn  0.5000  0.5000  0.8918
P  0.0000  0.5000  0.6835
P  0.5000  0.0000  0.1835

6.
A plane-wave DFT calculation with PBE was carried out for MgZnP after structural relaxation.

Calculated values
**Spin magnetization**: 0.000 μB/cell
**DFT formation energy**: -0.12 eV/atom
**ρ**: 3.44 g/cm³
**Final energy**: -34.56 eV per cell

Cell: 6.1531 6.1531 6.1531 Å, 90.00 90.00 90.00°
Element x y z (fractional)
Mg  0.0000  0.0000  0.0000
Mg  0.0000  0.5000  0.5000
Mg  0.5000  0.0000  0.5000
Mg  0.5000  0.5000  0.0000
Zn  0.0000  0.0000  0.5000
Zn  0.0000  0.5000  0.0000
Zn  0.5000  0.0000  0.0000
Zn  0.5000  0.5000  0.5000
P  0.2500  0.2500  0.2500
P  0.2500  0.7500  0.7500
P  0.7500  0.2500  0.7500
P  0.7500  0.7500  0.2500

7.
A plane-wave DFT calculation with PBE was carried out for Mg3ZnP after structural relaxation.

Calculated values
**Spin magnetization**: 0.000 μB/cell
**DFT formation energy**: 0.02 eV/atom
**ρ**: 2.41 g/cm³
**Final energy**: -11.38 eV per cell

Cell: 4.8864 4.8864 4.8864 Å, 90.00 90.00 90.00°
Element x y z (fractional)
Mg  0.0000  0.0000  0.5000
Mg  0.0000  0.5000  0.0000
Mg  0.5000  0.0000  0.0000
Zn  0.5000  0.5000  0.5000
P  0.0000  0.0000  0.0000

8.
A plane-wave DFT calculation with PBE was carried out for MgZn3P after structural relaxation.

Calculated values
**Spin magnetization**: 0.000 μB/cell
**DFT formation energy**: 0.32 eV/atom
**ρ**: 3.83 g/cm³
**Final energy**: -9.21 eV per cell

Cell: 4.7777 4.7777 4.7777 Å, 90.00 90.00 90.00°
Element x y z (fractional)
Mg  0.0000  0.0000  0.0000
Zn  0.0000  0.5000  0.5000
Zn  0.5000  0.0000  0.5000
Zn  0.5000  0.5000  0.0000
P  0.5000  0.5000  0.5000